## TcSbPt2 (PBE)

Data for a geometry-optimized TcSbPt2 structure.

Summary:
**Formation energy without anion corrections**: 0.04 eV/atom
**Symmetry**: No. 12
**DOS(E_F)**: 0.941 states/eV per atom
**Calculated density**: 14.998 g/cm³

The structure in CIF format:
```
data_TcSbPt2
_chemical_formula_sum 'Tc1 Sb1 Pt2'
_symmetry_space_group_name_H-M 'P 1'
_symmetry_Int_Tables_number 1
_symmetry_space_group_name_Hall 'P 1'
_cell_length_a 4.995
_cell_length_b 4.995
_cell_length_c 4.622
_cell_angle_alpha 82.43
_cell_angle_beta 82.43
_cell_angle_gamma 36.25
loop_
_atom_site_label
_atom_site_type_symbol
_atom_site_fract_x
_atom_site_fract_y
_atom_site_fract_z
_atom_site_occupancy
Pt1 Pt 0.989 0.989 0.014 1
Pt2 Pt 0.511 0.511 0.486 1
Sb1 Sb 0.750 0.750 0.750 1
Tc1 Tc 0.250 0.250 0.250 1
```